Entry from the Alexandria database: crystalline BaSrRe2 at its relaxed geometry (PBEsol).

```
BaSrRe2
1.0
2.003 -2.015 0.000
2.003 2.015 0.000
0.000 0.000 10.851
Ba Sr Re
1 1 2
Cartesian
0.000 0.000 0.000 Ba
0.000 0.000 5.426 Sr
2.003 0.000 2.833 Re
2.003 0.000 8.018 Re
```

Summary:
The total magnetization comes out at 0.00 Bohr magnetons per cell. For the formation energy, the calculation gives 1.457 eV per atom. The calculation puts the excess energy over the best structure of this formula in the dataset at 66.8 kJ per mole of atoms.